An optimized crystal structure of Na3WCl2F6, computed with PBE+U.

a b c (Å): 13.9176 7.0254 4.7171
angles (deg): 90.00 91.00 90.00
With the nearest neighbours (Å) after each atom.
Space group C2/m (No. 12)
Asymmetric unit:
Na1 0.0000 0.0000 0.0000 x2  4 F 2.49, 2 Cl 2.66
Na2 0.2500 0.2500 0.5000 x4  2 F 2.53, 2 Cl 2.65
W1 0.0000 0.5000 0.5000 x2  6 F 1.93-1.96
Cl1 0.1849 0.0000 0.8694 x4  3 Na 2.65-2.66
F1 0.0448 0.2966 0.2594 x8  1 W 1.93
F2 0.1314 0.5000 0.6556 x4  1 W 1.96

**E_tot**: -4.568 eV/atom
**Calculated density**: 3.15 Mg/m³
**Crystal system**: monoclinic